No. 1
Density functional theory data (PBE) for a geometry-optimized TaCr3Hg structure.

Structure (POSCAR):
```
TaCr3Hg
1.0
4.899 0.000 0.000
0.000 4.899 0.000
0.000 0.000 4.899
Ta Cr Hg
1 3 1
Direct
0.000 0.000 0.000 Ta
0.000 0.500 0.500 Cr
0.500 0.000 0.500 Cr
0.500 0.500 0.000 Cr
0.500 0.500 0.500 Hg
```

Values from the calculation:
Excess energy over the best structure of this formula in the dataset (kJ/mol of formula units): 237


No. 2
Density functional theory data (PBE) for a geometry-optimized HfCrSb2Pt structure.

Structure (POSCAR):
```
HfCrSb2Pt
1.0
4.949 0.000 0.000
0.000 4.949 0.000
0.000 0.000 4.676
Hf Cr Sb Pt
1 1 2 1
Direct
0.000 0.000 0.000 Hf
0.500 0.500 0.500 Cr
0.000 0.500 0.500 Sb
0.500 0.000 0.500 Sb
0.500 0.500 0.000 Pt
```

Values from the calculation:
Formation energy from raw total energies (eV/atom): 0.5853


No. 3
Density functional theory data (PBE) for a geometry-optimized PaTaIr2 structure.

Structure (POSCAR):
```
PaTaIr2
1.0
2.194 1.267 4.750
-2.194 1.267 4.750
0.000 -2.534 4.750
Pa Ta Ir
1 1 2
Direct
0.000 0.000 0.000 Pa
0.500 0.500 0.500 Ta
0.221 0.221 0.221 Ir
0.779 0.779 0.779 Ir
```

Values from the calculation:
Excess energy over the best structure of this formula in the dataset (kJ/mol of formula units): 5


No. 4
Density functional theory data (PBE) for a geometry-optimized La2PW structure.

Structure (POSCAR):
```
La2PW
1.0
0.000 3.523 3.523
3.523 0.000 3.523
3.523 3.523 0.000
La P W
2 1 1
Direct
0.000 0.000 0.000 La
0.250 0.250 0.250 La
0.500 0.500 0.500 P
0.750 0.750 0.750 W
```

Values from the calculation:
Excess energy over the best structure of this formula in the dataset (kJ/mol of formula units): 258


No. 5
Density functional theory data (PBE) for a geometry-optimized MgSb2Ru structure.

Structure (POSCAR):
```
MgSb2Ru
1.0
3.222 0.000 0.000
0.000 3.222 0.000
0.000 0.000 8.290
Mg Sb Ru
1 2 1
Direct
0.000 0.000 0.000 Mg
0.000 0.000 0.373 Sb
0.500 0.500 0.738 Sb
0.500 0.500 0.195 Ru
```

Values from the calculation:
Formation energy from raw total energies (eV/atom): -0.1156


No. 6
Density functional theory data (PBE) for a geometry-optimized Ag3BiSe3 structure.

Structure (POSCAR):
```
Ag3BiSe3
1.0
3.784 2.185 7.161
-3.784 2.185 7.161
0.000 -4.370 7.161
Ag Bi Se
6 2 6
Direct
0.014 0.377 0.717 Ag
0.283 0.986 0.623 Ag
0.377 0.717 0.014 Ag
0.623 0.283 0.986 Ag
0.717 0.014 0.377 Ag
0.986 0.623 0.283 Ag
0.168 0.168 0.168 Bi
0.832 0.832 0.832 Bi
0.092 0.757 0.428 Se
0.243 0.572 0.908 Se
0.428 0.092 0.757 Se
0.572 0.908 0.243 Se
0.757 0.428 0.092 Se
0.908 0.243 0.572 Se
```

Values from the calculation:
Formation energy from raw total energies (eV/atom): -0.1542


The records above give, respectively, energy values of -6.20 -6.19 -10.33 -6.69 -4.89 -3.42 eV/atom.
The records above give, respectively, ρ values of 7.59 9.70 16.69 9.35 7.12 7.19 g cm⁻³.